{
  "formula": "Sr2PdO",
  "functional": "PBE",
  "state": "relaxed",
  "dft_energy_ev_per_atom": -4.82,
  "dos_ef_per_ev_atom": 0.000,
  "e_form_raw_mev_per_atom": -1439,
  "magnetic_moment_mub_per_fu": 0.000,
  "cell": [[-3.519, 3.519, 4.284], [3.519, -3.519, 4.284], [3.519, 3.519, -4.284]],
  "species": ["Sr", "Sr", "Sr", "Sr", "Pd", "Pd", "O", "O"],
  "frac_coords": [[0.050, 0.625, 0.925], [0.375, 0.300, 0.425], [0.700, 0.125, 0.075], [0.875, 0.950, 0.575], [0.250, 0.750, 0.500], [0.500, 0.500, 0.000], [0.000, 0.000, 0.000], [0.750, 0.250, 0.500]]
}



{
  "formula": "NbZnGe2O8",
  "functional": "PBE",
  "state": "relaxed",
  "dft_energy_ev_per_atom": -6.61,
  "dos_ef_per_ev_atom": 0.764,
  "e_form_raw_mev_per_atom": -1591,
  "magnetic_moment_mub_per_fu": 0.700,
  "cell": [[-3.278, 3.278, 3.210], [3.278, -3.278, 3.210], [3.278, 3.278, -3.210]],
  "species": ["Nb", "Zn", "Ge", "Ge", "O", "O", "O", "O", "O", "O", "O", "O"],
  "frac_coords": [[0.000, 0.000, 0.000], [0.250, 0.750, 0.500], [0.500, 0.500, 0.000], [0.750, 0.250, 0.500], [0.300, 0.112, 0.812], [0.300, 0.488, 0.188], [0.369, 0.071, 0.298], [0.512, 0.700, 0.812], [0.773, 0.071, 0.702], [0.888, 0.700, 0.188], [0.929, 0.227, 0.298], [0.929, 0.631, 0.702]]
}



{
  "formula": "SrReBr",
  "functional": "PBE",
  "state": "relaxed",
  "dft_energy_ev_per_atom": -4.40,
  "dos_ef_per_ev_atom": 1.071,
  "e_form_raw_mev_per_atom": 865,
  "magnetic_moment_mub_per_fu": 2.136,
  "cell": [[3.475, 0.000, 0.000], [-1.738, 3.010, 0.000], [0.000, 0.000, 7.123]],
  "species": ["Sr", "Re", "Br"],
  "frac_coords": [[0.000, 0.000, 0.000], [0.667, 0.333, 0.660], [0.333, 0.667, 0.338]]
}



{
  "formula": "Rb2ScGeO4",
  "functional": "PBE",
  "state": "relaxed",
  "dft_energy_ev_per_atom": -6.08,
  "dos_ef_per_ev_atom": 0.440,
  "e_form_raw_mev_per_atom": -1986,
  "magnetic_moment_mub_per_fu": 0.000,
  "cell": [[-3.006, 3.006, 4.304], [3.006, -3.006, 4.304], [3.006, 3.006, -4.304]],
  "species": ["Rb", "Rb", "Sc", "Ge", "O", "O", "O", "O"],
  "frac_coords": [[0.000, 0.000, 0.000], [0.750, 0.250, 0.500], [0.500, 0.500, 0.000], [0.250, 0.750, 0.500], [0.263, 0.628, 0.149], [0.372, 0.521, 0.635], [0.479, 0.114, 0.851], [0.886, 0.737, 0.365]]
}



Repeat the first record exactly.
{
  "formula": "Sr2PdO",
  "functional": "PBE",
  "state": "relaxed",
  "dft_energy_ev_per_atom": -4.82,
  "dos_ef_per_ev_atom": 0.000,
  "e_form_raw_mev_per_atom": -1439,
  "magnetic_moment_mub_per_fu": 0.000,
  "cell": [[-3.519, 3.519, 4.284], [3.519, -3.519, 4.284], [3.519, 3.519, -4.284]],
  "species": ["Sr", "Sr", "Sr", "Sr", "Pd", "Pd", "O", "O"],
  "frac_coords": [[0.050, 0.625, 0.925], [0.375, 0.300, 0.425], [0.700, 0.125, 0.075], [0.875, 0.950, 0.575], [0.250, 0.750, 0.500], [0.500, 0.500, 0.000], [0.000, 0.000, 0.000], [0.750, 0.250, 0.500]]
}